1.
Below is LiPr3Sc3Se8 after structural relaxation, with properties calculated at the PBE level.

Geometry as POSCAR:
```
LiPr3Sc3Se8
1.0
4.013 2.317 6.682
-4.013 2.317 6.682
0.000 -4.633 6.682
Li Pr Sc Se
1 3 3 8
Direct
0.000 0.000 0.000
0.000 0.000 0.500
0.000 0.500 0.000
0.500 0.000 0.000
0.000 0.500 0.500
0.500 0.000 0.500
0.500 0.500 0.000
0.247 0.247 0.733
0.247 0.733 0.247
0.260 0.260 0.260
0.267 0.753 0.753
0.733 0.247 0.247
0.740 0.740 0.740
0.753 0.267 0.753
0.753 0.753 0.267
```

Values from the calculation:
D(E_F) = 0.2827 states/eV/atom
Formation energy without anion corrections = -1.706 eV per atom
ρ = 5.33 g cm⁻³

***

2.
Below is LiPrScSi after structural relaxation, with properties calculated at the PBE level.

Geometry as POSCAR:
```
LiPrScSi
1.0
0.000 3.493 3.493
3.493 0.000 3.493
3.493 3.493 0.000
Li Pr Sc Si
1 1 1 1
Direct
0.000 0.000 0.000
0.250 0.250 0.250
0.750 0.750 0.750
0.500 0.500 0.500
```

Values from the calculation:
D(E_F) = 0.4687 states/eV/atom
Formation energy without anion corrections = -0.342 eV per atom
ρ = 4.30 g cm⁻³